[1]
A geometry-optimized Cs2MgV3F12 structure, computed with PBE+U.

Geometry as POSCAR:
```
Cs2MgV3F12
1.0
-0.378 -7.320 1.618
5.103 -3.098 4.551
-1.982 -2.214 6.893
F Mg V Cs
12 1 3 2
Direct
0.683 0.066 0.066
0.066 0.683 0.066
0.320 0.320 0.934
0.320 0.934 0.320
0.066 0.680 0.680
0.066 0.066 0.683
0.680 0.066 0.680
0.934 0.317 0.934
0.934 0.934 0.317
0.680 0.680 0.066
0.317 0.934 0.934
0.934 0.320 0.320
0.000 0.000 0.000
0.000 0.500 0.000
0.500 0.000 0.000
0.000 0.000 0.500
0.370 0.370 0.370
0.630 0.630 0.630
```


[2]
A geometry-optimized CsMgVF6 structure, computed with PBE+U.

Geometry as POSCAR:
```
CsMgVF6
1.0
-7.216 -0.770 1.272
0.380 -7.214 -2.211
4.446 2.531 5.415
F Cs V Mg
12 2 2 2
Direct
0.429 0.679 0.859
0.433 0.679 0.245
0.187 0.321 0.755
0.184 0.934 0.368
0.813 0.066 0.245
0.816 0.066 0.632
0.571 0.321 0.141
0.813 0.679 0.245
0.187 0.934 0.755
0.567 0.321 0.755
0.433 0.066 0.245
0.567 0.934 0.755
0.114 0.364 0.229
0.886 0.636 0.771
0.500 0.500 0.000
0.500 0.000 0.000
0.500 0.000 0.500
0.000 0.000 0.500
```


[3]
A geometry-optimized CsMg2VF8 structure, computed with PBE+U.

Geometry as POSCAR:
```
CsMg2VF8
1.0
5.363 0.000 0.000
2.682 4.645 0.000
2.682 1.548 8.615
F Mg V Cs
8 2 1 1
Direct
0.246 0.977 0.132
0.355 0.754 0.868
0.645 0.246 0.132
0.754 0.023 0.868
0.194 0.194 0.419
0.977 0.645 0.132
0.023 0.355 0.868
0.806 0.806 0.581
0.735 0.735 0.794
0.265 0.265 0.206
0.000 0.000 0.000
0.500 0.500 0.500
```


| no. | VASP energy (eV/cell) |
| --- | --- |
| 1 | -102.2 |
| 2 | -99.1 |
| 3 | -63.9 |